Entry 1:
Material: NaHgTeSe3
Method: DFT, GGA-PBE
State: relaxed

abc: 7.5696 3.9907 12.3447
angles: 90.00 93.95 90.00
Closest atoms and distances in Å follow each position.
Positions (direct):
Na (0.1427, 0.2500, 0.2656)  6 Se 3.03-3.30
Na (0.8573, 0.7500, 0.7344)  6 Se 3.03-3.30
Hg (0.1639, 0.2500, 0.5768)  3 Se 2.64-2.66
Hg (0.8361, 0.7500, 0.4232)  3 Se 2.64-2.66
Te (0.4342, 0.7500, 0.8471)  4 Se 2.75-2.87
Te (0.5658, 0.2500, 0.1529)  4 Se 2.75-2.87
Se (0.1715, 0.2500, 0.7909)  1 Hg 2.64, 2 Te 2.87
Se (0.2405, 0.7500, 0.4450)  2 Hg 2.66
Se (0.3286, 0.7500, 0.0934)  2 Te 2.75
Se (0.6714, 0.2500, 0.9066)  2 Te 2.75
Se (0.7595, 0.2500, 0.5550)  2 Hg 2.66
Se (0.8285, 0.7500, 0.2091)  1 Hg 2.64, 2 Te 2.87

Summary:
SG: No. 11
DFT total energy: -2.821 eV per atom

Entry 2:
Material: Na2HgTeSe4
Method: DFT, GGA-PBE
State: relaxed

abc: 8.3660 8.3660 8.1885
angles: 117.38 117.38 93.53
Closest atoms and distances in Å follow each position.
Positions (direct):
Na (0.0000, 0.0000, 0.0000)  6 Se 2.94-3.23
Na (0.0000, 0.0000, 0.5000)  6 Se 2.94-3.23
Na (0.0000, 0.5000, 0.0000)  6 Se 2.93-3.12
Na (0.5000, 0.0000, 0.5000)  6 Se 2.93-3.12
Hg (0.0000, 0.5000, 0.5000)  2 Se 2.62
Hg (0.5000, 0.0000, 0.0000)  2 Se 2.62
Te (0.5000, 0.5000, 0.0000)  6 Se 2.81-2.88
Te (0.5000, 0.5000, 0.5000)  6 Se 2.81-2.88
Se (0.2363, 0.7073, 0.4864)  1 Hg 2.62, 1 Te 2.88
Se (0.2588, 0.2794, 0.0281)  2 Te 2.81-2.87, 2 Na 2.93-2.94
Se (0.2794, 0.2588, 0.5281)  2 Te 2.81-2.87, 2 Na 2.93-2.94
Se (0.2927, 0.7637, 0.0136)  1 Hg 2.62, 1 Te 2.88
Se (0.7073, 0.2363, 0.9864)  1 Hg 2.62, 1 Te 2.88
Se (0.7206, 0.7412, 0.4719)  2 Te 2.81-2.87, 2 Na 2.93-2.94
Se (0.7412, 0.7206, 0.9719)  2 Te 2.81-2.87, 2 Na 2.93-2.94
Se (0.7637, 0.2927, 0.5136)  1 Hg 2.62, 1 Te 2.88

Summary:
SG: No. 15
DFT total energy: -2.950 eV per atom

Entry 3:
Material: Na2Hg2TeSe2
Method: DFT, GGA-PBE
State: relaxed

abc: 4.3283 6.9839 7.7785
angles: 66.73 86.88 78.82
Closest atoms and distances in Å follow each position.
Positions (direct):
Na (0.0949, 0.1681, 0.2394)  3 Se 3.10-3.26, 2 Te 3.12-3.20
Na (0.9051, 0.8319, 0.7606)  3 Se 3.10-3.26, 2 Te 3.12-3.20
Hg (0.2638, 0.6186, 0.2985)  3 Se 2.65-2.95, 1 Te 2.84
Hg (0.7362, 0.3814, 0.7015)  3 Se 2.65-2.95, 1 Te 2.84
Te (0.5000, 0.5000, 0.0000)  2 Hg 2.84, 2 Na 3.12
Se (0.2778, 0.2009, 0.6080)  3 Hg 2.65-2.95
Se (0.7222, 0.7991, 0.3920)  3 Hg 2.65-2.95

Summary:
SG: No. 2
DFT total energy: -2.381 eV per atom

Entry 4:
Material: Na2ThHgSe4
Method: DFT, GGA-PBE
State: relaxed

abc: 7.3454 4.2187 7.5581
angles: 90.00 111.28 90.00
Closest atoms and distances in Å follow each position.
Positions (direct):
Na (0.0000, 0.0000, 0.0000)  6 Se 2.94-3.12
Na (0.5000, 0.5000, 0.0000)  6 Se 3.05-3.21
Th (0.0000, 0.5000, 0.5000)  6 Se 2.92-2.96
Hg (0.5000, 0.0000, 0.5000)  4 Se 2.85
Se (0.2267, 0.0000, 0.7496)  2 Th 2.92, 3 Na 2.94-3.05, 1 Hg 3.22
Se (0.2631, 0.5000, 0.2825)  2 Hg 2.85, 1 Th 2.96, 2 Na 3.12
Se (0.7369, 0.5000, 0.7175)  2 Hg 2.85, 1 Th 2.96, 2 Na 3.12
Se (0.7733, 0.0000, 0.2504)  2 Th 2.92, 3 Na 2.94-3.05, 1 Hg 3.22

Summary:
SG: No. 10
DFT total energy: -4.160 eV per atom

Entry 5:
Material: NaTlHgSe
Method: DFT, GGA-PBE
State: relaxed

abc: 5.3729 5.3729 5.3729
angles: 60.00 60.00 60.00
Closest atoms and distances in Å follow each position.
Positions (direct):
Na (0.0000, 0.0000, 0.0000)  4 Hg 3.29, 4 Se 3.29
Tl (0.5000, 0.5000, 0.5000)  4 Hg 3.29, 4 Se 3.29
Hg (0.7500, 0.7500, 0.7500)  4 Na 3.29, 4 Tl 3.29
Se (0.2500, 0.2500, 0.2500)  4 Tl 3.29, 4 Na 3.29

Summary:
SG: No. 216
DFT total energy: -2.317 eV per atom

Entry 6:
Material: NaTlHgSe2
Method: DFT, GGA-PBE
State: relaxed

abc: 7.3925 6.2301 7.7503
angles: 90.00 101.13 90.00
Closest atoms and distances in Å follow each position.
Positions (direct):
Na (0.0000, 0.0013, 0.2500)  4 Se 2.97-3.01
Na (0.0000, 0.9987, 0.7500)  4 Se 2.97-3.01
Tl (0.5000, 0.3964, 0.7500)  4 Se 3.22-3.41
Tl (0.5000, 0.6036, 0.2500)  4 Se 3.22-3.41
Hg (0.0000, 0.5000, 0.0000)  2 Se 2.47
Hg (0.0000, 0.5000, 0.5000)  2 Se 2.47
Se (0.2463, 0.2265, 0.0479)  1 Hg 2.47
Se (0.2463, 0.7735, 0.5479)  1 Hg 2.47
Se (0.7537, 0.2265, 0.4521)  1 Hg 2.47
Se (0.7537, 0.7735, 0.9521)  1 Hg 2.47

Summary:
SG: No. 13
DFT total energy: -2.705 eV per atom

Entry 7:
Material: NaUHg2Se6
Method: DFT, GGA-PBE
State: relaxed

abc: 6.4192 6.8546 7.4604
angles: 76.93 69.43 70.46
Closest atoms and distances in Å follow each position.
Positions (direct):
Na (0.0000, 0.0000, 0.0000)  6 Se 2.98-3.15
U (0.5145, 0.4914, 0.4936)  6 Se 2.67-2.77
Hg (0.3997, 0.3828, 0.9837)  3 Se 2.55-2.80
Hg (0.8936, 0.7581, 0.5373)  3 Se 2.62-2.88
Se (0.1373, 0.3857, 0.7587)  1 U 2.73, 2 Hg 2.76-2.99, 1 Na 3.05
Se (0.2811, 0.8269, 0.3008)  1 Hg 2.62, 1 U 2.70
Se (0.4703, 0.7507, 0.7493)  2 Hg 2.63-2.80, 1 U 2.77
Se (0.5501, 0.2072, 0.2711)  1 Hg 2.55, 1 U 2.74
Se (0.7968, 0.1673, 0.6563)  1 U 2.71, 1 Hg 2.94
Se (0.8767, 0.5928, 0.2216)  1 U 2.67, 1 Hg 2.88

Summary:
SG: No. 1
DFT total energy: -3.902 eV per atom

Entry 8:
Material: Na2UHgSe4
Method: DFT, GGA-PBE
State: relaxed

abc: 7.3618 4.1428 7.4632
angles: 90.00 111.49 90.00
Closest atoms and distances in Å follow each position.
Positions (direct):
Na (0.0000, 0.0000, 0.0000)  6 Se 2.93-3.07
Na (0.5000, 0.5000, 0.0000)  6 Se 3.04-3.27
U (0.0000, 0.5000, 0.5000)  6 Se 2.85-2.86
Hg (0.5000, 0.0000, 0.5000)  4 Se 2.83
Se (0.2220, 0.0000, 0.7444)  2 U 2.85, 3 Na 2.93-3.04
Se (0.2540, 0.5000, 0.2871)  2 Hg 2.83, 1 U 2.86, 2 Na 3.07
Se (0.7460, 0.5000, 0.7129)  2 Hg 2.83, 1 U 2.86, 2 Na 3.07
Se (0.7780, 0.0000, 0.2556)  2 U 2.85, 3 Na 2.93-3.04

Summary:
SG: No. 10
DFT total energy: -4.424 eV per atom

ΔE_f (raw): -0.285; -0.448; -0.473; -1.123; -0.449; -0.514; -0.490; -0.903 (eV/atom)